# 1
Entry from Alexandria via LeMat-Bulk: Cr3Ni2 after structural relaxation (GGA-PBE).

Unit cell a=8.642 b=12.254 c=4.313 alpha=90.00 beta=90.00 gamma=90.00
Space group Fdd2 (No. 43)
Inequivalent atoms, fractional coordinates:
1 Cr 0.000 0.000 0.000 x8
2 Cr 0.043 0.102 0.442 x16
3 Ni 0.031 0.203 0.920 x16

---

# 2
Entry from Alexandria via LeMat-Bulk: Cr3Ni after structural relaxation (GGA-PBE).

Unit cell a=2.920 b=3.893 c=7.996 alpha=90.00 beta=90.00 gamma=90.00
Space group Cmmm (No. 65)
Inequivalent atoms, fractional coordinates:
1 Cr 0.000 0.000 0.000 x2
2 Cr 0.000 0.500 0.253 x4
3 Ni 0.000 0.000 0.500 x2

---

# 3
Entry from Alexandria via LeMat-Bulk: Cr3Ni after structural relaxation (GGA-PBE).

Unit cell a=4.661 b=4.661 c=4.661 alpha=90.00 beta=90.00 gamma=90.00
Space group Pm-3m (No. 221)
Inequivalent atoms, fractional coordinates:
1 Cr 0.000 0.000 0.500 x3
2 Ni 0.000 0.000 0.000 x1

---

# 4
Entry from Alexandria via LeMat-Bulk: Cr5Ni3 after structural relaxation (GGA-PBE).

Unit cell a=7.106 b=7.421 c=3.453 alpha=90.00 beta=90.00 gamma=90.00
Space group Cmmm (No. 65)
Inequivalent atoms, fractional coordinates:
1 Cr 0.000 0.000 0.000 x2
2 Cr 0.000 0.252 0.500 x4
3 Cr 0.250 0.250 0.000 x4
4 Ni 0.000 0.500 0.000 x2
5 Ni 0.245 0.500 0.500 x4

---

# 5
Entry from Alexandria via LeMat-Bulk: Cr3Ni7 after structural relaxation (GGA-PBE).

Unit cell a=12.776 b=3.480 c=5.049 alpha=90.00 beta=99.41 gamma=90.00
Space group C2/m (No. 12)
Inequivalent atoms, fractional coordinates:
1 Cr 0.000 0.000 0.000 x2
2 Cr 0.207 0.000 0.596 x4
3 Ni 0.000 0.000 0.500 x2
4 Ni 0.099 0.500 0.297 x4
5 Ni 0.100 0.500 0.794 x4
6 Ni 0.198 0.000 0.096 x4

---

# 6
Entry from Alexandria via LeMat-Bulk: Cr4Ni3 after structural relaxation (GGA-PBE).

Unit cell a=4.5629 b=4.5629 c=4.4215 alpha=90.00 beta=90.00 gamma=120.00
Space group P6/mmm (No. 191)
Inequivalent atoms, fractional coordinates:
1 Cr 0.0000 0.0000 0.2235 x2
2 Cr 0.3333 0.6667 0.0000 x2
3 Ni 0.0000 0.5000 0.5000 x3

---

# 7
Entry from Alexandria via LeMat-Bulk: Cr4Ni3 after structural relaxation (GGA-PBE).

Unit cell a=2.939 b=2.939 c=18.939 alpha=90.00 beta=90.00 gamma=90.00
Space group I4/mmm (No. 139)
Inequivalent atoms, fractional coordinates:
1 Cr 0.000 0.000 0.076 x4
2 Cr 0.000 0.000 0.355 x4
3 Ni 0.000 0.000 0.215 x4
4 Ni 0.000 0.000 0.500 x2

---

# 8
Entry from Alexandria via LeMat-Bulk: Cr5Ni after structural relaxation (GGA-PBE).

Unit cell a=4.032 b=12.087 c=2.926 alpha=90.00 beta=90.00 gamma=90.00
Space group Cmmm (No. 65)
Inequivalent atoms, fractional coordinates:
1 Cr 0.000 0.000 0.000 x2
2 Cr 0.000 0.163 0.500 x4
3 Cr 0.000 0.330 0.000 x4
4 Ni 0.000 0.500 0.500 x2

---

# 9
Entry from Alexandria via LeMat-Bulk: Cr3Ni after structural relaxation (GGA-PBE).

Unit cell a=3.573 b=3.573 c=3.573 alpha=90.00 beta=90.00 gamma=90.00
Space group Pm-3m (No. 221)
Inequivalent atoms, fractional coordinates:
1 Cr 0.000 0.000 0.500 x3
2 Ni 0.500 0.500 0.500 x1

---

# 10
Entry from Alexandria via LeMat-Bulk: CrNi7 after structural relaxation (GGA-PBE).

Unit cell a=4.9900 b=4.9900 c=4.0704 alpha=90.00 beta=90.00 gamma=120.00
Space group P-6m2 (No. 187)
Inequivalent atoms, fractional coordinates:
1 Cr 0.0000 0.0000 0.0000 x1
2 Ni 0.1672 0.3343 0.5000 x3
3 Ni 0.5004 0.0009 0.0000 x3
4 Ni 0.6667 0.3333 0.5000 x1

---

# 11
Entry from Alexandria via LeMat-Bulk: Cr2Ni after structural relaxation (GGA-PBE).

Unit cell a=4.181 b=4.181 c=2.478 alpha=90.00 beta=90.00 gamma=90.00
Space group P4/mmm (No. 123)
Inequivalent atoms, fractional coordinates:
1 Cr 0.000 0.500 0.000 x2
2 Ni 0.000 0.000 0.500 x1

---

# 12
Entry from Alexandria via LeMat-Bulk: Cr3Ni2 after structural relaxation (GGA-PBE).

Unit cell a=3.8903 b=3.8903 c=4.8633 alpha=90.00 beta=90.00 gamma=120.00
Space group P-3m1 (No. 164)
Inequivalent atoms, fractional coordinates:
1 Cr 0.0000 0.0000 0.0000 x1
2 Cr 0.3333 0.6667 0.3881 x2
3 Ni 0.3333 0.6667 0.8752 x2

---

# 13
Entry from Alexandria via LeMat-Bulk: Cr7Ni after structural relaxation (GGA-PBE).

Unit cell a=7.196 b=7.196 c=7.196 alpha=90.00 beta=90.00 gamma=90.00
Space group Fm-3m (No. 225)
Inequivalent atoms, fractional coordinates:
1 Cr 0.000 0.000 0.000 x4
2 Cr 0.000 0.250 0.250 x24
3 Ni 0.000 0.000 0.500 x4

---

# 14
Entry from Alexandria via LeMat-Bulk: Cr3Ni after structural relaxation (GGA-PBE).

Unit cell a=5.434 b=8.387 c=4.107 alpha=90.00 beta=90.00 gamma=90.00
Space group Cmcm (No. 63)
Inequivalent atoms, fractional coordinates:
1 Cr 0.000 0.130 0.250 x4
2 Cr 0.243 0.394 0.250 x8
3 Ni 0.000 0.345 0.750 x4

---

# 15
Entry from Alexandria via LeMat-Bulk: Cr2Ni5 after structural relaxation (GGA-PBE).

Unit cell a=5.965 b=10.941 c=4.982 alpha=90.00 beta=90.00 gamma=90.00
Space group Cccm (No. 66)
Inequivalent atoms, fractional coordinates:
1 Cr 0.180 0.097 0.000 x8
2 Ni 0.000 0.271 0.250 x8
3 Ni 0.000 0.500 0.250 x4
4 Ni 0.218 0.121 0.500 x8

---

# 16
Entry from Alexandria via LeMat-Bulk: Cr2Ni17 after structural relaxation (GGA-PBE).

Unit cell a=8.0709 b=8.0709 c=12.0199 alpha=90.00 beta=90.00 gamma=120.00
Space group R-3m (No. 166, hexagonal axes)
Inequivalent atoms, fractional coordinates:
1 Cr 0.0000 0.0000 0.1681 x6
2 Ni 0.0000 0.0000 0.4006 x6
3 Ni 0.0000 0.3039 0.5000 x18
4 Ni 0.0000 0.5000 0.0000 x9
5 Ni 0.0051 0.5025 0.6531 x18

---

# 17
Entry from Alexandria via LeMat-Bulk: Cr5Ni after structural relaxation (GGA-PBE).

Unit cell a=9.583 b=2.358 c=6.332 alpha=90.00 beta=103.76 gamma=90.00
Space group Cm (No. 8)
Inequivalent atoms, fractional coordinates:
1 Cr 0.000 0.000 0.000 x2
2 Cr 0.065 0.000 0.647 x2
3 Cr 0.168 0.500 0.333 x2
4 Cr 0.325 0.000 0.675 x2
5 Cr 0.403 0.000 0.303 x2
6 Ni 0.231 0.500 0.970 x2

---

# 18
Entry from Alexandria via LeMat-Bulk: Cr5Ni3 after structural relaxation (GGA-PBE).

Unit cell a=6.9983 b=6.9983 c=4.3672 alpha=90.00 beta=90.00 gamma=120.00
Space group P6_3/mcm (No. 193)
Inequivalent atoms, fractional coordinates:
1 Cr 0.0000 0.2078 0.2500 x6
2 Cr 0.3333 0.6667 0.0000 x4
3 Ni 0.0000 0.4097 0.7500 x6

---

# 19
Entry from Alexandria via LeMat-Bulk: Cr5Ni3 after structural relaxation (GGA-PBE).

Unit cell a=9.210 b=9.210 c=4.431 alpha=90.00 beta=90.00 gamma=90.00
Space group I4/mcm (No. 140)
Inequivalent atoms, fractional coordinates:
1 Cr 0.000 0.500 0.250 x4
2 Cr 0.069 0.228 0.000 x16
3 Ni 0.000 0.000 0.250 x4
4 Ni 0.175 0.325 0.500 x8

---

# 20
Entry from Alexandria via LeMat-Bulk: Cr3Ni after structural relaxation (GGA-PBE).

Unit cell a=2.915 b=2.915 c=5.616 alpha=90.00 beta=90.00 gamma=90.00
Space group P4/mmm (No. 123)
Inequivalent atoms, fractional coordinates:
1 Cr 0.000 0.000 0.000 x1
2 Cr 0.500 0.500 0.244 x2
3 Ni 0.000 0.000 0.500 x1

---

| no. | calculated formation energy (eV per atom) |
| --- | --- |
| 1 | 0.157 |
| 2 | 0.047 |
| 3 | 1.740 |
| 4 | 0.079 |
| 5 | 0.024 |
| 6 | 0.121 |
| 7 | 0.130 |
| 8 | 0.080 |
| 9 | 0.136 |
| 10 | 0.032 |
| 11 | 0.865 |
| 12 | 0.575 |
| 13 | 0.258 |
| 14 | 0.133 |
| 15 | 0.145 |
| 16 | 0.180 |
| 17 | 0.207 |
| 18 | 0.200 |
| 19 | 0.176 |
| 20 | 0.139 |